[1]
Cd5Ag4Sn | PBE | relaxed

a = 9.2183 Å, b = 9.5788 Å, c = 5.0788 Å
α = 90.00°, β = 90.00°, γ = 90.00°
Last column: nearest neighbours and their distance in Å.
Space group Pmmn (No. 59, origin choice 2)
Inequivalent atoms, fractional coordinates:
Cd (0.0745, 0.0096, 0.2488)  3 Cd 2.88-2.90, 5 Ag 2.90-3.02, 1 Sn 3.04
Cd (0.2500, 0.2500, 0.3896)  4 Cd 2.90, 6 Ag 2.98-3.07
Ag (0.0714, 0.2500, 0.8792)  6 Cd 2.90-3.07, 2 Ag 2.99, 1 Sn 3.24
Ag (0.2500, 0.5009, 0.7503)  2 Ag 2.99, 7 Cd 2.99-3.02, 1 Sn 3.05
Sn (0.2500, 0.7500, 0.3776)  4 Cd 3.04, 4 Ag 3.05-3.24

- DFT formation energy: 0.071 eV per atom
- Crystal system: orthorhombic
- ΔE to the lowest computed polymorph: 0.92 eV/f.u.

[2]
TiCdPd3 | PBE | relaxed

a = 4.2156 Å, b = 5.4869 Å, c = 7.6740 Å
α = 90.00°, β = 90.00°, γ = 90.00°
Last column: nearest neighbours and their distance in Å.
Space group Pmmn (No. 59, origin choice 2)
Inequivalent atoms, fractional coordinates:
Ti (0.2500, 0.2500, 0.1197)  8 Pd 2.62-2.76
Cd (0.2500, 0.7500, 0.4472)  7 Pd 2.78-2.99
Pd (0.2500, 0.5009, 0.7634)  2 Ti 2.67, 5 Pd 2.73-2.81, 1 Cd 2.78
Pd (0.2500, 0.7500, 0.0832)  4 Ti 2.62-2.76, 6 Pd 2.78-2.81, 1 Cd 2.79

- DFT formation energy: -0.417 eV per atom
- Crystal system: orthorhombic
- ΔE to the lowest computed polymorph: 0.16 eV/f.u.

[3]
LiAc3Rh2O9 | PBE | relaxed

a = 5.6607 Å, b = 5.6607 Å, c = 6.9546 Å
α = 90.00°, β = 90.00°, γ = 120.00°
Last column: nearest neighbours and their distance in Å.
Space group P-3m1 (No. 164)
Inequivalent atoms, fractional coordinates:
Li (0.0000, 0.0000, 0.0000)  6 O 2.03
Ac (0.0000, 0.0000, 0.5000)  12 O 2.83-2.85
Ac (0.3333, 0.6667, 0.1537)  12 O 2.75-2.91
Rh (0.3333, 0.6667, 0.6704)  6 O 1.96-2.02
O (0.0000, 0.5000, 0.5000)  2 Rh 2.02
O (0.1697, 0.3395, 0.8326)  1 Rh 1.96, 1 Li 2.03

- Crystal system: trigonal
- Formation energy (no corrections): -2195 meV per atom

[4]
SnH2Pt7Pb2 | PBE | relaxed

a = 5.7042 Å, b = 5.6522 Å, c = 12.4228 Å
α = 90.00°, β = 102.96°, γ = 90.00°
Last column: nearest neighbours and their distance in Å.
Space group C2/m (No. 12)
Inequivalent atoms, fractional coordinates:
Sn (0.0000, 0.0000, 0.0000)  12 Pt 2.83-2.88
H (0.1333, 0.0000, 0.7501)  3 Pt 1.76-1.88
Pt (0.0000, 0.5000, 0.0000)  4 Sn 2.83-2.85, 8 Pt 2.84-2.89
Pt (0.1470, 0.5000, 0.3419)  1 H 1.88
Pt (0.1661, 0.2581, 0.8314)  1 H 1.76
Pb (0.2125, 0.0000, 0.4147)  1 H 2.50

- E_tot: -124.60 eV/cell
- Crystal system: monoclinic

[5]
CaHfTa2Os | PBE | relaxed

a = 4.8817 Å, b = 4.8817 Å, c = 5.1756 Å
α = 90.00°, β = 90.00°, γ = 90.00°
Last column: nearest neighbours and their distance in Å.
Space group P4/mmm (No. 123)
Inequivalent atoms, fractional coordinates:
Ca (0.0000, 0.0000, 0.0000)  2 Os 2.59
Hf (0.5000, 0.5000, 0.0000)  4 Ca 3.45, 8 Ta 3.56
Ta (0.0000, 0.5000, 0.5000)  2 Os 2.44
Os (0.0000, 0.0000, 0.5000)  4 Ta 2.44, 2 Ca 2.59

- DFT formation energy: 1.056 eV per atom
- Crystal system: tetragonal

[6]
NiPb3W | PBE | relaxed

a = 5.0910 Å, b = 5.0910 Å, c = 5.0910 Å
α = 90.00°, β = 90.00°, γ = 90.00°
Last column: nearest neighbours and their distance in Å.
Space group Pm-3m (No. 221)
Inequivalent atoms, fractional coordinates:
Ni (0.0000, 0.0000, 0.0000)  6 Pb 2.55
Pb (0.0000, 0.0000, 0.5000)  2 Ni 2.55
W (0.5000, 0.5000, 0.5000)  12 Pb 3.60

- DFT formation energy: 1.179 eV per atom
- Crystal system: cubic
- ΔE to the lowest computed polymorph: 0.00 eV/f.u.

[7]
Pa2AsC | PBE | relaxed

a = 3.7519 Å, b = 3.7519 Å, c = 19.7828 Å
α = 90.00°, β = 90.00°, γ = 120.00°
Last column: nearest neighbours and their distance in Å.
Space group R-3m (No. 166, hexagonal axes)
Inequivalent atoms, fractional coordinates:
Pa (0.0000, 0.0000, 0.2360)  3 C 2.56
As (0.0000, 0.0000, 0.0000)  6 Pa 2.90
C (0.0000, 0.0000, 0.5000)  6 Pa 2.56

- DFT formation energy: -0.736 eV per atom
- Crystal system: trigonal
- ΔE to the lowest computed polymorph: 0.00 eV/f.u.

[8]
Y5BiSb4 | PBE | relaxed

a = 4.4062 Å, b = 6.2321 Å, c = 22.0500 Å
α = 90.00°, β = 90.00°, γ = 90.00°
Last column: nearest neighbours and their distance in Å.
Space group Immm (No. 71)
Inequivalent atoms, fractional coordinates:
Y (0.0000, 0.0000, 0.0000)  2 Bi 3.12, 4 Sb 3.12
Y (0.0000, 0.0000, 0.1995)  6 Sb 3.11-3.12
Y (0.0000, 0.0000, 0.3973)  4 Sb 3.09-3.12, 2 Bi 3.16
Bi (0.0000, 0.5000, 0.0000)  6 Y 3.12-3.16
Sb (0.0000, 0.5000, 0.2011)  6 Y 3.09-3.12
Sb (0.0000, 0.5000, 0.4001)  6 Y 3.11-3.12

- Crystal system: orthorhombic
- Formation energy (no corrections): -1112 meV per atom